1.
VASP calculation (GGA-PBE) on a relaxed structure of K2LaPt.

**Raw total energy**: -3.3062 eV per atom
**ΔE_f**: -15 meV per atom
**E above lowest polymorph**: 365 meV per atom

a = 4.4216 Å, b = 4.4216 Å, c = 6.4999 Å
α = 90.00°, β = 90.00°, γ = 90.00°
Space group P4/mmm (No. 123)
One atom of each set of equivalent atoms:
K 0.0000 0.5000 0.0000
La 0.0000 0.0000 0.5000
Pt 0.5000 0.5000 0.5000

---

2.
VASP calculation (GGA-PBE) on a relaxed structure of LaTbScCd.

**Raw total energy**: -4.2569 eV per atom
**ΔE_f**: -56 meV per atom
**E above lowest polymorph**: 60 meV per atom

a = 7.7186 Å, b = 7.7186 Å, c = 7.7186 Å
α = 90.00°, β = 90.00°, γ = 90.00°
Space group F-43m (No. 216)
One atom of each set of equivalent atoms:
La 0.0000 0.0000 0.0000
Tb 0.0000 0.0000 0.5000
Sc 0.2500 0.2500 0.2500
Cd 0.2500 0.2500 0.7500

---

3.
VASP calculation (GGA-PBE) on a relaxed structure of ScCr2Ni.

**Raw total energy**: -7.7835 eV per atom
**ΔE_f**: 56 meV per atom
**E above lowest polymorph**: 13 meV per atom

a = 6.1205 Å, b = 6.1205 Å, c = 6.1205 Å
α = 90.00°, β = 90.00°, γ = 90.00°
Space group F-43m (No. 216)
One atom of each set of equivalent atoms:
Sc 0.0000 0.0000 0.0000
Cr 0.0000 0.0000 0.5000
Cr 0.2500 0.2500 0.2500
Ni 0.2500 0.2500 0.7500